Density functional theory data (PBE) for a relaxed CaTcCl2 crystal.

Values from the calculation:
Raw formation energy (eV per atom): -0.35
Final energy (eV per atom): -4.367
N(E_F) (states/eV/f.u.): 0.4

Geometry as extended XYZ:
```
4
Lattice="0.000 3.386 3.386 3.386 0.000 3.386 3.386 3.386 0.000" Properties=species:S:1:pos:R:3 pbc="T T T"
Ca 0.000 0.000 0.000
Tc 3.386 3.386 3.386
Cl 1.693 1.693 1.693
Cl 5.079 5.079 5.079
```